A relaxed structure of NaSr2In9, computed with PBE.

a = 11.250 Å, b = 11.250 Å, c = 11.250 Å
α = 32.20°, β = 32.20°, γ = 32.20°
Positions (direct):
Na 0.000 0.000 0.000
Sr 0.140 0.140 0.140
Sr 0.860 0.860 0.860
In 0.080 0.586 0.586
In 0.335 0.335 0.335
In 0.414 0.414 0.920
In 0.414 0.920 0.414
In 0.500 0.500 0.500
In 0.586 0.080 0.586
In 0.586 0.586 0.080
In 0.665 0.665 0.665
In 0.920 0.414 0.414

Output
Total energy, eV for the cell shown: -31.53
ΔH_f (0 K), eV/f.u.: -2.20
Crystal system: trigonal
Space group: No. 166